# SiW2F2

A geometry-optimized SiW2F2 structure (GGA+U, Alexandria via LeMat-Bulk).

The value obtained for the total energy is -51.8 eV per cell. The mass density comes out at 10.3 g cm⁻³.

Cell lengths 3.4215, 3.4215, 11.9266 Å; angles 90.00, 90.00, 90.00 degrees
Space group I4/mmm (No. 139)
One atom of each set of equivalent atoms:
Si  0.0000  0.0000  0.0000
W  0.0000  0.0000  0.3910
F  0.0000  0.5000  0.2500

# Sr2CrO

A geometry-optimized Sr2CrO structure (GGA+U, Alexandria via LeMat-Bulk).

The value obtained for the total energy is -78.9 eV per cell. The mass density comes out at 3.2 g cm⁻³.

Cell lengths 7.3469, 7.3469, 9.4261 Å; angles 90.00, 90.00, 90.00 degrees
Space group I-42d (No. 122)
One atom of each set of equivalent atoms:
Sr  0.1321  0.7500  0.1250
Cr  0.0000  0.0000  0.5000
O  0.0000  0.0000  0.0000